The following is a DFT calculation (PBE) of a geometry-optimized VPtSe2 structure.

Properties
As for the volume: 67 Å³ per cell. As for the space group: No. 225. As for the total energy: -5.47 eV/atom. The energy relative to the elements, uncorrected is 0.24 eV/f.u.

Cell: 4.555 4.555 4.555 Å, 60.00 60.00 60.00°
Fractional coordinates of all 4 atoms:
V1 0.000 0.000 0.000
Pt1 0.500 0.500 0.500
Se1 0.250 0.250 0.250
Se2 0.750 0.750 0.750